SmTm2AlAu4: optimized geometry, PBE-GGA.

Cell and atoms, written as extended XYZ:
```
8
Lattice="-2.2041 0.2888 4.3613 -4.7458 -1.1229 0.4231 -0.2847 -8.2790 3.1516" Properties=species:S:1:pos:R:3 pbc="T T T"
Sm 0.0000 0.0000 0.0000
Tm -5.4794 -6.6246 5.9111
Tm -1.7553 -2.4886 2.0249
Al -3.6173 -4.5566 3.9680
Au -2.9470 -7.1961 4.4816
Au -6.1989 -3.7913 5.3598
Au -1.0357 -5.3218 2.5762
Au -4.2876 -1.9171 3.4544
```

## Properties
- E_form: -0.755 eV/atom
- Crystal system: trigonal
- Space group: No. 166

***

SmY2AlAu4: optimized geometry, PBE-GGA.

Cell and atoms, written as extended XYZ:
```
8
Lattice="-3.7816 2.0700 2.4678 -1.6154 -2.0370 4.2328 3.5916 4.7102 6.5522" Properties=species:S:1:pos:R:3 pbc="T T T"
Sm 0.0000 0.0000 0.0000
Y -1.4917 3.4375 9.8294
Y -0.3138 1.3057 3.4234
Al -0.9027 2.3716 6.6264
Au 0.9103 3.9521 8.0790
Au -3.4251 1.7521 8.2805
Au 1.6196 2.9911 4.9724
Au -2.7158 0.7911 5.1739
```

## Properties
- E_form: -0.744 eV/atom
- Crystal system: trigonal
- Space group: No. 166

***

SmYAlAu: optimized geometry, PBE-GGA.

Cell and atoms, written as extended XYZ:
```
4
Lattice="3.8316 0.0000 0.0000 0.0000 4.5601 0.0000 -1.9158 0.0000 5.7473" Properties=species:S:1:pos:R:3 pbc="T T T"
Sm 1.9158 2.2800 4.0137
Y 0.0000 0.0000 1.6917
Al 1.9158 2.2800 0.8507
Au 0.0000 0.0000 4.9385
```

## Properties
- E_form: -0.600 eV/atom
- Crystal system: orthorhombic
- Space group: No. 38

***

SmYAlAu: optimized geometry, PBE-GGA.

Cell and atoms, written as extended XYZ:
```
4
Lattice="5.1936 0.0000 0.0000 2.5968 4.4978 0.0000 2.5968 1.4993 4.2405" Properties=species:S:1:pos:R:3 pbc="T T T"
Y 7.7904 4.4978 3.1804
Au 0.0000 0.0000 0.0000
Al 5.1936 2.9985 2.1203
Sm 2.5968 1.4993 1.0601
```

## Properties
- E_form: -0.547 eV/atom
- Crystal system: cubic
- Space group: No. 216

***

SmAlZnAu3: optimized geometry, PBE-GGA.

Cell and atoms, written as extended XYZ:
```
12
Lattice="-2.1043 5.4892 2.3138 -4.7935 0.1056 -4.6101 -1.2515 -3.0217 6.0304" Properties=species:S:1:pos:R:3 pbc="T T T"
Sm -3.7518 2.3482 3.9548
Sm -4.3976 0.2250 -0.2207
Al -3.2611 -0.8534 3.3713
Al -4.8883 3.4266 0.3629
Zn -6.1807 -1.2261 1.6001
Zn -1.9687 3.7992 2.1340
Au -1.7719 0.3585 1.8506
Au -1.3731 0.0303 -1.3206
Au -4.4726 2.8200 -2.1326
Au -2.4253 2.7749 -0.1636
Au -3.4204 0.0754 -3.2896
Au -6.3775 2.2147 1.8836
```

## Properties
- E_form: -0.406 eV/atom
- Crystal system: orthorhombic
- Space group: No. 63

***

Sm2Al4Zn3Au: optimized geometry, PBE-GGA.

Cell and atoms, written as extended XYZ:
```
10
Lattice="-3.7324 -1.2331 1.5908 1.9024 -1.0668 3.6366 -1.6696 9.9422 3.7898" Properties=species:S:1:pos:R:3 pbc="T T T"
Sm -2.2775 1.8325 1.7290
Sm -0.3071 6.9597 4.6746
Al -0.9150 -1.1500 2.6137
Al 0.0000 0.0000 0.0000
Al -2.9264 5.6967 3.2019
Al 0.3418 3.0956 3.2016
Zn -0.8348 4.9711 1.8949
Zn -3.3070 7.9631 4.0658
Zn 0.7224 0.8292 2.3377
Au -1.7498 3.8212 4.5086
```

## Properties
- E_form: -0.481 eV/atom
- Crystal system: tetragonal
- Space group: No. 115